The following is a GGA-PBEsol calculation of a geometry-optimized CaP2SO structure, from Alexandria.

abc: 3.8352 3.8352 6.2281
angles: 90.00 90.00 90.00
Positions (direct):
Ca 0.0000 0.0000 0.0000
P 0.0000 0.5000 0.5000
P 0.5000 0.0000 0.5000
S 0.5000 0.5000 0.0000
O 0.5000 0.5000 0.5000

## Properties
Magnetic moment   0.0 μB/cell
E   -25.1 eV per cell
Energy relative to the elements, uncorrected   -0.350 eV per atom
Fermi-level density of states   0.48 states/eV/atom

---

The following is a GGA-PBEsol calculation of a geometry-optimized CaSb2P2O9 structure, from Alexandria.

abc: 15.6420 6.9214 6.9897
angles: 90.00 90.00 90.00
Positions (direct):
Ca 0.2190 0.2500 0.0825
Ca 0.2810 0.7500 0.5825
Ca 0.7190 0.2500 0.4175
Ca 0.7810 0.7500 0.9175
Sb 0.0000 0.0000 0.0000
Sb 0.0000 0.5000 0.0000
Sb 0.1157 0.2500 0.6003
Sb 0.3843 0.7500 0.1003
Sb 0.5000 0.0000 0.5000
Sb 0.5000 0.5000 0.5000
Sb 0.6157 0.2500 0.8997
Sb 0.8843 0.7500 0.3997
P 0.0813 0.7500 0.5991
P 0.1932 0.7500 0.0824
P 0.3068 0.2500 0.5824
P 0.4187 0.2500 0.0991
P 0.5813 0.7500 0.9009
P 0.6932 0.7500 0.4176
P 0.8068 0.2500 0.9176
P 0.9187 0.2500 0.4009
O 0.0164 0.7500 0.7750
O 0.0298 0.7500 0.4138
O 0.0780 0.2500 0.8822
O 0.1386 0.5628 0.0969
O 0.1386 0.9372 0.0969
O 0.1408 0.5726 0.6161
O 0.1408 0.9274 0.6161
O 0.2405 0.2500 0.7517
O 0.2483 0.7500 0.9014
O 0.2517 0.2500 0.4014
O 0.2595 0.7500 0.2517
O 0.3592 0.0726 0.1161
O 0.3592 0.4274 0.1161
O 0.3614 0.0628 0.5969
O 0.3614 0.4372 0.5969
O 0.4220 0.7500 0.3822
O 0.4702 0.2500 0.9138
O 0.4836 0.2500 0.2750
O 0.5164 0.7500 0.7250
O 0.5298 0.7500 0.0862
O 0.5780 0.2500 0.6178
O 0.6386 0.5628 0.4031
O 0.6386 0.9372 0.4031
O 0.6408 0.5726 0.8839
O 0.6408 0.9274 0.8839
O 0.7405 0.2500 0.7483
O 0.7483 0.7500 0.5986
O 0.7517 0.2500 0.0986
O 0.7595 0.7500 0.2483
O 0.8592 0.0726 0.3839
O 0.8592 0.4274 0.3839
O 0.8614 0.0628 0.9031
O 0.8614 0.4372 0.9031
O 0.9220 0.7500 0.1178
O 0.9702 0.2500 0.5862
O 0.9836 0.2500 0.2250

## Properties
Magnetic moment   0.0 μB/cell
E   -397.2 eV per cell
Energy relative to the elements, uncorrected   -2.088 eV per atom
Fermi-level density of states   0.00 states/eV/atom

---

Among the records above, which one has the lowest E?
CaSb2P2O9